Computed, not measured: crystalline SrLi2Pr at its relaxed geometry at the GGA-PBE level of DFT.

SG = No. 225
Energy of formation from the pure elements = 0.136 eV per atom
Magnetic moment = 0.0 Bohr magnetons per cell
Fermi-level density of states = 1.013 states/eV/atom
Crystal system = cubic

Lattice parameters (Å, degrees): 5.664 5.664 5.664 60.00 60.00 60.00
Fractional positions:
Pr 0.000 0.000 0.000
Sr 0.500 0.500 0.500
Li 0.250 0.250 0.250
Li 0.750 0.750 0.750

---

Computed, not measured: crystalline CePaSe2O at its relaxed geometry at the GGA-PBE level of DFT.

SG = No. 129
Energy relative to the elements, uncorrected = -10.8 eV per formula unit
Magnetic moment = 1.3 Bohr magnetons per cell
Fermi-level density of states = 1.911 states/eV/atom
Crystal system = tetragonal

Lattice parameters (Å, degrees): 4.000 4.000 13.840 90.00 90.00 90.00
Each line ends with the local moment (μB).
Fractional positions:
Ce 0.000 0.500 0.410  0.68
Se 0.000 0.500 0.117  0.00
O 0.500 0.500 0.500  -0.03
Pa 0.000 0.500 0.902  -0.01
O 0.000 0.000 0.500  -0.03
Pa 0.500 0.000 0.098  -0.01
Se 0.000 0.500 0.697  -0.01
Se 0.500 0.000 0.883  0.00
Se 0.500 0.000 0.303  -0.01
Ce 0.500 0.000 0.590  0.68

---

Computed, not measured: crystalline LaGaC3 at its relaxed geometry at the GGA-PBE level of DFT.

SG = No. 221
Energy of formation from the pure elements = 2.755 eV per atom
Magnetic moment = 0.0 Bohr magnetons per cell
Fermi-level density of states = 1.067 states/eV/atom
Crystal system = cubic

Lattice parameters (Å, degrees): 4.596 4.596 4.596 90.00 90.00 90.00
Fractional positions:
La 0.000 0.000 0.000
Ga 0.500 0.500 0.500
C 0.000 0.500 0.000
C 0.000 0.000 0.500
C 0.500 0.000 0.000

---

Q: Among the records above, which one has the lowest Fermi-level density of states?
A: SrLi2Pr

---

Copy entry 2 word for word.
Computed, not measured: crystalline CePaSe2O at its relaxed geometry at the GGA-PBE level of DFT.

SG = No. 129
Energy relative to the elements, uncorrected = -10.8 eV per formula unit
Magnetic moment = 1.3 Bohr magnetons per cell
Fermi-level density of states = 1.911 states/eV/atom
Crystal system = tetragonal

Lattice parameters (Å, degrees): 4.000 4.000 13.840 90.00 90.00 90.00
Each line ends with the local moment (μB).
Fractional positions:
Ce 0.000 0.500 0.410  0.68
Se 0.000 0.500 0.117  0.00
O 0.500 0.500 0.500  -0.03
Pa 0.000 0.500 0.902  -0.01
O 0.000 0.000 0.500  -0.03
Pa 0.500 0.000 0.098  -0.01
Se 0.000 0.500 0.697  -0.01
Se 0.500 0.000 0.883  0.00
Se 0.500 0.000 0.303  -0.01
Ce 0.500 0.000 0.590  0.68